# 1
Computed, not measured: crystalline Cu2NiRu at its relaxed geometry at the PBE level of DFT.

As for the energy above the most stable polymorph in this dataset: 0.1314 eV per atom. For the energy relative to the elements, the calculation gives 1.00 eV per formula unit. As for the volume: 99 Å³ per cell. For the density of states at the Fermi level, the calculation gives 1.04 states/eV per atom.

It has space group Imm2 (No. 44), with a = 2.673 Å, b = 4.351 Å, c = 8.532 Å, α = 90.00°, β = 90.00° and γ = 90.00°. Symmetry generates all atoms from Cu at (0.000, 0.000, 0.000), Cu at (0.000, 0.500, 0.255), Ni at (0.000, 0.500, 0.743) and Ru at (0.000, 0.000, 0.491).

---

# 2
Computed, not measured: crystalline PuHg2Br at its relaxed geometry at the PBE level of DFT.

The value obtained for the uncorrected formation energy is 28 meV/atom. As for the volume: 365 Å³ per cell. For the density of states at the Fermi level, the calculation gives 2.17 states/eV per atom.

It has space group R-3m (No. 166, hexagonal axes), with a = 3.6159 Å, b = 3.6159 Å, c = 32.2629 Å, α = 90.00°, β = 90.00° and γ = 120.00°. Symmetry generates all atoms from Pu at (0.0000, 0.0000, 0.0000), Hg at (0.0000, 0.0000, 0.0955) and Br at (0.0000, 0.0000, 0.5000).

---

# 3
Computed, not measured: crystalline Sb2Pd7Pt2 at its relaxed geometry at the PBE level of DFT.

The value obtained for the uncorrected formation energy is -127 meV/atom. As for the volume: 386 Å³ per cell. For the density of states at the Fermi level, the calculation gives 0.93 states/eV per atom.

It has space group C2/m (No. 12), with a = 9.602 Å, b = 7.930 Å, c = 5.165 Å, α = 90.00°, β = 100.92° and γ = 90.00°. Symmetry generates all atoms from Sb at (0.223, 0.000, 0.255), Pd at (0.000, 0.000, 0.500), Pd at (0.005, 0.500, 0.750), Pd at (0.239, 0.173, 0.746) and Pt at (0.000, 0.188, 0.000).

---

# 4
Computed, not measured: crystalline PuTiFe2 at its relaxed geometry at the PBE level of DFT.

As for the energy above the most stable polymorph in this dataset: 0.0337 eV per atom. For the energy relative to the elements, the calculation gives -0.17 eV per formula unit. As for the volume: 62 Å³ per cell. For the density of states at the Fermi level, the calculation gives 1.54 states/eV per atom.

It has space group P4/mmm (No. 123), with a = 4.476 Å, b = 4.476 Å, c = 3.093 Å, α = 90.00°, β = 90.00° and γ = 90.00°. Symmetry generates all atoms from Pu at (0.000, 0.000, 0.000), Ti at (0.500, 0.500, 0.000) and Fe at (0.000, 0.500, 0.500).

---

# 5
Computed, not measured: crystalline PmTcSbOs at its relaxed geometry at the PBE level of DFT.

The value obtained for the uncorrected formation energy is 179 meV/atom. As for the volume: 302 Å³ per cell. For the density of states at the Fermi level, the calculation gives 1.30 states/eV per atom.

It has space group F-43m (No. 216), with a = 6.709 Å, b = 6.709 Å, c = 6.709 Å, α = 90.00°, β = 90.00° and γ = 90.00°. Symmetry generates all atoms from Pm at (0.000, 0.000, 0.000), Tc at (0.250, 0.250, 0.250), Sb at (0.000, 0.000, 0.500) and Os at (0.250, 0.250, 0.750).

---

# 6
Computed, not measured: crystalline Na3CeV2Se6 at its relaxed geometry at the PBE level of DFT.

The value obtained for the uncorrected formation energy is -1126 meV/atom. As for the volume: 553 Å³ per cell. For the density of states at the Fermi level, the calculation gives 0.85 states/eV per atom.

It has space group C2/m (No. 12), with a = 6.754 Å, b = 11.713 Å, c = 7.351 Å, α = 90.00°, β = 108.12° and γ = 90.00°. Symmetry generates all atoms from Na at (0.000, 0.000, 0.000), Na at (0.000, 0.340, 0.000), Ce at (0.000, 0.500, 0.500), V at (0.000, 0.168, 0.500), Se at (0.209, 0.000, 0.714) and Se at (0.246, 0.181, 0.285).

---

# 7
Computed, not measured: crystalline MnTc2Ni at its relaxed geometry at the PBE level of DFT.

As for the energy above the most stable polymorph in this dataset: 0.1619 eV per atom. For the energy relative to the elements, the calculation gives 0.62 eV per formula unit. As for the volume: 215 Å³ per cell. For the density of states at the Fermi level, the calculation gives 1.12 states/eV per atom.

It has space group F-43m (No. 216), with a = 5.995 Å, b = 5.995 Å, c = 5.995 Å, α = 90.00°, β = 90.00° and γ = 90.00°. Symmetry generates all atoms from Mn at (0.000, 0.000, 0.000), Tc at (0.000, 0.000, 0.500), Tc at (0.250, 0.250, 0.750) and Ni at (0.250, 0.250, 0.250).

---

# 8
Computed, not measured: crystalline Rb3CuGe at its relaxed geometry at the PBE level of DFT.

As for the energy above the most stable polymorph in this dataset: 0.0000 eV per atom. For the energy relative to the elements, the calculation gives 2.49 eV per formula unit. As for the volume: 262 Å³ per cell. For the density of states at the Fermi level, the calculation gives 1.17 states/eV per atom.

It has space group Pm-3m (No. 221), with a = 6.398 Å, b = 6.398 Å, c = 6.398 Å, α = 90.00°, β = 90.00° and γ = 90.00°. Symmetry generates all atoms from Rb at (0.000, 0.000, 0.500), Cu at (0.000, 0.000, 0.000) and Ge at (0.500, 0.500, 0.500).

---

# 9
Computed, not measured: crystalline ZrInAg at its relaxed geometry at the PBE level of DFT.

For the energy relative to the elements, the calculation gives -0.45 eV per formula unit. As for the volume: 126 Å³ per cell. For the density of states at the Fermi level, the calculation gives 0.93 states/eV per atom.

It has space group P-1 (No. 2), with a = 4.406 Å, b = 5.108 Å, c = 6.358 Å, α = 77.69°, β = 89.92° and γ = 64.53°. Symmetry generates all atoms from Zr at (0.163, 0.173, 0.326), In at (0.500, 0.500, 0.000), In at (0.500, 0.500, 0.500) and Ag at (0.169, 0.162, 0.835).

---

# 10
Computed, not measured: crystalline MnZnCoRh at its relaxed geometry at the PBE level of DFT.

For the energy relative to the elements, the calculation gives -0.42 eV per formula unit. As for the volume: 204 Å³ per cell. For the density of states at the Fermi level, the calculation gives 1.43 states/eV per atom.

It has space group F-43m (No. 216), with a = 5.884 Å, b = 5.884 Å, c = 5.884 Å, α = 90.00°, β = 90.00° and γ = 90.00°. Symmetry generates all atoms from Mn at (0.000, 0.000, 0.000), Zn at (0.000, 0.000, 0.500), Co at (0.250, 0.250, 0.750) and Rh at (0.250, 0.250, 0.250).

---

# 11
Computed, not measured: crystalline CaPb2I6 at its relaxed geometry at the PBE level of DFT.

The value obtained for the uncorrected formation energy is -976 meV/atom. As for the energy above the most stable polymorph in this dataset: 0.0000 eV per atom. As for the volume: 846 Å³ per cell. For the density of states at the Fermi level, the calculation gives 0.00 states/eV per atom.

It has space group C2/m (No. 12), with a = 20.305 Å, b = 4.608 Å, c = 9.304 Å, α = 90.00°, β = 103.51° and γ = 90.00°. Symmetry generates all atoms from Ca at (0.000, 0.000, 0.000), Pb at (0.166, 0.500, 0.332), I at (0.001, 0.500, 0.235), I at (0.160, 0.000, 0.080) and I at (0.167, 0.000, 0.582).

---

# 12
Computed, not measured: crystalline TmUAs2 at its relaxed geometry at the PBE level of DFT.

As for the energy above the most stable polymorph in this dataset: 0.1345 eV per atom. For the energy relative to the elements, the calculation gives -3.94 eV per formula unit. As for the volume: 291 Å³ per cell. For the density of states at the Fermi level, the calculation gives 1.04 states/eV per atom.

It has space group R3m (No. 160, hexagonal axes), with a = 3.9541 Å, b = 3.9541 Å, c = 21.5155 Å, α = 90.00°, β = 90.00° and γ = 120.00°. Symmetry generates all atoms from Tm at (0.0000, 0.0000, 0.0000), U at (0.0000, 0.0000, 0.1710), As at (0.0000, 0.0000, 0.4167) and As at (0.0000, 0.0000, 0.5887).

---

# 13
Computed, not measured: crystalline LiTe2RhI at its relaxed geometry at the PBE level of DFT.

The value obtained for the uncorrected formation energy is 647 meV/atom. As for the energy above the most stable polymorph in this dataset: 0.6656 eV per atom. As for the volume: 130 Å³ per cell. For the density of states at the Fermi level, the calculation gives 1.11 states/eV per atom.

It has space group P4/mmm (No. 123), with a = 4.976 Å, b = 4.976 Å, c = 5.235 Å, α = 90.00°, β = 90.00° and γ = 90.00°. Symmetry generates all atoms from Li at (0.000, 0.000, 0.000), Te at (0.000, 0.500, 0.000), Rh at (0.500, 0.500, 0.500) and I at (0.000, 0.000, 0.500).

---

# 14
Computed, not measured: crystalline Sr2ZnCu at its relaxed geometry at the PBE level of DFT.

For the energy relative to the elements, the calculation gives 0.71 eV per formula unit. As for the volume: 407 Å³ per cell. For the density of states at the Fermi level, the calculation gives 0.93 states/eV per atom.

It has space group F-43m (No. 216), with a = 7.409 Å, b = 7.409 Å, c = 7.409 Å, α = 90.00°, β = 90.00° and γ = 90.00°. Symmetry generates all atoms from Sr at (0.000, 0.000, 0.000), Sr at (0.250, 0.250, 0.250), Zn at (0.250, 0.250, 0.750) and Cu at (0.000, 0.000, 0.500).

---

# 15
Computed, not measured: crystalline Cs2PmAs2Pd7 at its relaxed geometry at the PBE level of DFT.

For the energy relative to the elements, the calculation gives -4.55 eV per formula unit. As for the volume: 562 Å³ per cell. For the density of states at the Fermi level, the calculation gives 0.39 states/eV per atom.

It has space group C2/m (No. 12), with a = 6.695 Å, b = 6.615 Å, c = 12.716 Å, α = 90.00°, β = 93.58° and γ = 90.00°. Symmetry generates all atoms from Cs at (0.060, 0.000, 0.363), Pm at (0.000, 0.000, 0.000), As at (0.023, 0.500, 0.212), Pd at (0.000, 0.500, 0.000), Pd at (0.074, 0.500, 0.405) and Pd at (0.233, 0.249, 0.861).

---

# 16
Computed, not measured: crystalline CoHg4Se at its relaxed geometry at the PBE level of DFT.

The value obtained for the uncorrected formation energy is 715 meV/atom. As for the volume: 567 Å³ per cell. For the density of states at the Fermi level, the calculation gives 1.27 states/eV per atom.

It has space group F-43m (No. 216), with a = 8.277 Å, b = 8.277 Å, c = 8.277 Å, α = 90.00°, β = 90.00° and γ = 90.00°. Symmetry generates all atoms from Co at (0.000, 0.000, 0.000), Hg at (0.125, 0.125, 0.625) and Se at (0.250, 0.250, 0.250).

---

# 17
Computed, not measured: crystalline NaSeS2 at its relaxed geometry at the PBE level of DFT.

The value obtained for the uncorrected formation energy is -413 meV/atom. As for the volume: 420 Å³ per cell. For the density of states at the Fermi level, the calculation gives 0.14 states/eV per atom.

It has space group P2_1/c (No. 14), with a = 6.981 Å, b = 8.544 Å, c = 7.768 Å, α = 90.00°, β = 114.94° and γ = 90.00°. Symmetry generates all atoms from Na at (0.250, 0.130, 0.001), Se at (0.250, 0.700, 0.998), S at (0.028, 0.649, 0.284) and S at (0.472, 0.649, 0.714).

---

# 18
Computed, not measured: crystalline Zr2PtPb at its relaxed geometry at the PBE level of DFT.

For the energy relative to the elements, the calculation gives -1.85 eV per formula unit. As for the volume: 84 Å³ per cell. For the density of states at the Fermi level, the calculation gives 0.78 states/eV per atom.

It has space group P2/m (No. 10), with a = 3.243 Å, b = 4.146 Å, c = 6.231 Å, α = 90.00°, β = 90.87° and γ = 90.00°. Symmetry generates all atoms from Zr at (0.007, 0.000, 0.270), Pt at (0.500, 0.500, 0.500) and Pb at (0.500, 0.500, 0.000).

---

# 19
Computed, not measured: crystalline Dy2B3C4 at its relaxed geometry at the PBE level of DFT.

For the energy relative to the elements, the calculation gives 4.12 eV per formula unit. As for the volume: 384 Å³ per cell. For the density of states at the Fermi level, the calculation gives 0.15 states/eV per atom.

It has space group Cmce (No. 64), with a = 4.526 Å, b = 11.526 Å, c = 7.366 Å, α = 90.00°, β = 90.00° and γ = 90.00°. Symmetry generates all atoms from Dy at (0.000, 0.125, 0.080), B at (0.000, 0.000, 0.500), B at (0.250, 0.189, 0.750), C at (0.000, 0.239, 0.341) and C at (0.250, 0.047, 0.750).

---

# 20
Computed, not measured: crystalline Ti2Al2Zn at its relaxed geometry at the PBE level of DFT.

As for the energy above the most stable polymorph in this dataset: 0.0000 eV per atom. For the energy relative to the elements, the calculation gives -1.18 eV per formula unit. As for the volume: 318 Å³ per cell. For the density of states at the Fermi level, the calculation gives 0.67 states/eV per atom.

It has space group Cmc2_1 (No. 36), with a = 4.218 Å, b = 13.945 Å, c = 5.404 Å, α = 90.00°, β = 90.00° and γ = 90.00°. Symmetry generates all atoms from Ti at (0.000, 0.003, 0.000), Ti at (0.000, 0.194, 0.483), Al at (0.000, 0.192, 0.980), Al at (0.000, 0.397, 0.749) and Zn at (0.000, 0.395, 0.242).